No. 1
This record from the Alexandria database describes crystalline RbTl3Ru at its relaxed geometry. The functional is GGA-PBE.

```
RbTl3Ru
1.0
-6.021 0.970 0.900
-0.488 -5.524 2.691
1.230 2.557 5.472
Ru Tl Rb
1 3 1
Cartesian
-2.639 -0.998 4.532
-0.244 -2.762 1.346
0.615 1.279 2.736
-3.010 0.485 0.450
0.000 0.000 0.000
```

Properties
Relative energy among the computed polymorphs: 1.6606 eV per atom
Space-group type: Pm-3m (221)
Volume: 46.845 Å³ per atom
Fermi-level density of states: 9.18 states/eV/cell

=====

No. 2
This record from the Alexandria database describes crystalline RbTlRu2 at its relaxed geometry. The functional is GGA-PBE.

```
RbTlRu2
1.0
0.000 3.476 3.476
3.476 0.000 3.476
3.476 3.476 0.000
Ru Tl Rb
2 1 1
Cartesian
1.738 1.738 1.738
5.215 5.215 5.215
3.476 3.476 3.476
0.000 0.000 0.000
```

Properties
Relative energy among the computed polymorphs: 0.4126 eV per atom
Space-group type: Fm-3m (225)
Volume: 21.006 Å³ per atom
Fermi-level density of states: 5.33 states/eV/cell

=====

No. 3
This record from the Alexandria database describes crystalline Rb2VRu at its relaxed geometry. The functional is GGA-PBE.

```
Rb2VRu
1.0
4.571 -0.087 3.578
-0.451 -2.488 5.226
2.745 -5.000 1.081
Ru Rb V
1 2 1
Cartesian
3.432 -3.788 4.943
1.716 -1.894 2.471
5.149 -5.682 7.414
0.000 0.000 0.000
```

Properties
Relative energy among the computed polymorphs: 0.8900 eV per atom
Space-group type: Fm-3m (225)
Volume: 34.595 Å³ per atom
Fermi-level density of states: 9.94 states/eV/cell

=====

No. 4
This record from the Alexandria database describes crystalline RbV3Ru at its relaxed geometry. The functional is GGA-PBE.

```
RbV3Ru
1.0
4.420 0.000 0.000
0.000 4.420 0.000
0.000 0.000 4.420
Ru Rb V
1 1 3
Cartesian
2.210 2.210 2.210
0.000 0.000 0.000
0.000 2.210 0.000
0.000 0.000 2.210
2.210 0.000 0.000
```

Properties
Space-group type: Pm-3m (221)
Volume: 17.267 Å³ per atom
Fermi-level density of states: 7.52 states/eV/cell

=====

No. 5
This record from the Alexandria database describes crystalline Rb2VRu at its relaxed geometry. The functional is GGA-PBE.

```
Rb2VRu
1.0
-9.895 -8.710 -1.955
5.756 -3.995 -11.336
-0.913 -7.923 -5.505
Ru Rb V
2 4 2
Cartesian
0.000 0.000 0.000
-6.439 -11.493 -7.053
-7.517 -9.529 -4.376
-5.939 -12.671 -10.301
-3.297 -9.970 -7.024
-9.002 -13.800 -6.511
-2.070 -6.352 -6.646
1.387 -9.135 -11.744
```

Properties
Relative energy among the computed polymorphs: 0.0000 eV per atom
Space-group type: I-42d (122)
Volume: 50.162 Å³ per atom
Fermi-level density of states: 8.90 states/eV/cell

=====

No. 6
This record from the Alexandria database describes crystalline RbRuW2 at its relaxed geometry. The functional is GGA-PBE.

```
RbRuW2
1.0
1.713 1.652 3.965
-1.309 4.164 1.528
-2.717 0.347 3.726
Ru Rb W
1 1 2
Cartesian
-1.157 3.081 4.609
0.000 0.000 0.000
-0.578 1.541 2.305
-1.735 4.622 6.914
```

Properties
Relative energy among the computed polymorphs: 0.0000 eV per atom
Space-group type: Fm-3m (225)
Volume: 17.482 Å³ per atom
Fermi-level density of states: 2.95 states/eV/cell

=====

No. 7
This record from the Alexandria database describes crystalline RbRuW2 at its relaxed geometry. The functional is GGA-PBE.

```
RbRuW2
1.0
-3.359 -2.573 2.951
1.825 -4.469 -1.820
4.976 -3.755 6.900
Ru Rb W
2 2 4
Cartesian
0.000 0.000 0.000
0.425 -4.925 5.208
-0.767 -3.521 0.566
3.017 -5.872 2.823
-1.457 -3.741 4.070
-0.565 -5.991 3.179
2.706 -4.354 6.048
1.015 -5.613 7.535
```

Properties
Relative energy among the computed polymorphs: 0.0121 eV per atom
Space-group type: I-42d (122)
Volume: 28.453 Å³ per atom
Fermi-level density of states: 9.53 states/eV/cell

=====

No. 8
This record from the Alexandria database describes crystalline RbY3Ru at its relaxed geometry. The functional is GGA-PBE.

```
RbY3Ru
1.0
5.254 0.000 0.000
0.000 5.254 0.000
0.000 0.000 5.254
Y Ru Rb
3 1 1
Cartesian
0.000 2.627 0.000
0.000 0.000 2.627
2.627 0.000 0.000
2.627 2.627 2.627
0.000 0.000 0.000
```

Properties
Relative energy among the computed polymorphs: 1.7849 eV per atom
Space-group type: Pm-3m (221)
Volume: 29.005 Å³ per atom
Fermi-level density of states: 5.19 states/eV/cell

=====

No. 9
This record from the Alexandria database describes crystalline RbY3Ru at its relaxed geometry. The functional is GGA-PBE.

```
RbY3Ru
1.0
5.557 0.000 0.000
0.000 5.557 0.000
0.000 0.000 5.557
Y Ru Rb
3 1 1
Cartesian
0.000 2.779 0.000
0.000 0.000 2.779
2.779 0.000 0.000
0.000 0.000 0.000
2.779 2.779 2.779
```

Properties
Relative energy among the computed polymorphs: 0.0000 eV per atom
Space-group type: Pm-3m (221)
Volume: 34.327 Å³ per atom
Fermi-level density of states: 2.77 states/eV/cell

=====

No. 10
This record from the Alexandria database describes crystalline RbYRu2 at its relaxed geometry. The functional is GGA-PBE.

```
RbYRu2
1.0
-1.797 -4.252 1.821
0.593 -1.088 4.805
-3.907 0.066 3.059
Y Ru Rb
1 2 1
Cartesian
-2.556 -2.637 4.843
-1.278 -1.319 2.421
-3.833 -3.956 7.264
0.000 0.000 0.000
```

Properties
Relative energy among the computed polymorphs: 0.0346 eV per atom
Space-group type: Fm-3m (225)
Volume: 21.602 Å³ per atom
Fermi-level density of states: 5.51 states/eV/cell

=====

No. 11
This record from the Alexandria database describes crystalline RbYRu2 at its relaxed geometry. The functional is GGA-PBE.

```
RbYRu2
1.0
-3.817 0.367 2.901
1.080 -4.256 1.960
4.116 2.509 9.081
Y Ru Rb
2 4 2
Cartesian
0.000 0.000 0.000
-0.535 0.466 7.206
-1.828 0.383 4.789
-1.984 -1.678 6.298
1.889 1.099 8.322
-0.217 2.060 9.416
-1.368 -1.944 2.430
1.913 -1.846 6.736
```

Properties
Relative energy among the computed polymorphs: 0.0000 eV per atom
Space-group type: I-42d (122)
Volume: 28.041 Å³ per atom
Fermi-level density of states: 9.39 states/eV/cell

=====

No. 12
This record from the Alexandria database describes crystalline RbYRu3 at its relaxed geometry. The functional is GGA-PBE.

```
RbYRu3
1.0
-4.577 -1.147 -2.055
-1.534 -1.954 4.507
-1.785 4.621 1.396
Y Ru Rb
1 3 1
Cartesian
0.000 0.000 0.000
-0.767 -0.977 2.253
-0.892 2.310 0.698
-2.288 -0.573 -1.028
-3.948 0.760 1.924
```

Properties
Relative energy among the computed polymorphs: 0.0000 eV per atom
Space-group type: Pm-3m (221)
Volume: 27.259 Å³ per atom
Fermi-level density of states: 6.63 states/eV/cell

=====

No. 13
This record from the Alexandria database describes crystalline RbYRu3 at its relaxed geometry. The functional is GGA-PBE.

```
RbYRu3
1.0
4.766 0.000 0.000
0.000 4.766 0.000
0.000 0.000 4.766
Y Ru Rb
1 3 1
Cartesian
2.383 2.383 2.383
0.000 2.383 0.000
0.000 0.000 2.383
2.383 0.000 0.000
0.000 0.000 0.000
```

Properties
Relative energy among the computed polymorphs: 0.4387 eV per atom
Space-group type: Pm-3m (221)
Volume: 21.645 Å³ per atom
Fermi-level density of states: 8.90 states/eV/cell

=====

No. 14
This record from the Alexandria database describes crystalline RbZnRu3 at its relaxed geometry. The functional is GGA-PBE.

```
RbZnRu3
1.0
4.818 0.000 0.000
0.000 4.818 0.000
0.000 0.000 4.818
Ru Zn Rb
3 1 1
Cartesian
0.000 2.409 0.000
0.000 0.000 2.409
2.409 0.000 0.000
0.000 0.000 0.000
2.409 2.409 2.409
```

Properties
Relative energy among the computed polymorphs: 0.0000 eV per atom
Space-group type: Pm-3m (221)
Volume: 22.363 Å³ per atom
Fermi-level density of states: 6.86 states/eV/cell

=====

No. 15
This record from the Alexandria database describes crystalline Rb2ZnRu at its relaxed geometry. The functional is GGA-PBE.

```
Rb2ZnRu
1.0
12.804 0.000 0.000
0.000 12.804 0.000
6.402 6.402 2.419
Ru Zn Rb
2 2 4
Cartesian
0.000 0.000 0.000
12.804 6.402 1.210
6.402 6.402 0.000
6.402 12.804 1.210
12.648 3.201 0.605
12.961 9.603 0.605
9.603 6.559 1.814
16.005 6.246 1.814
```

Properties
Space-group type: I-42d (122)
Volume: 49.575 Å³ per atom
Fermi-level density of states: 9.33 states/eV/cell

=====

No. 16
This record from the Alexandria database describes crystalline RbZn2Ru at its relaxed geometry. The functional is GGA-PBE.

```
RbZn2Ru
1.0
-4.826 -0.231 0.801
-3.059 2.747 -2.662
-2.934 -2.107 -3.308
Ru Zn Rb
1 2 1
Cartesian
-5.410 0.204 -2.585
-2.705 0.102 -1.292
-8.114 0.307 -3.877
0.000 0.000 0.000
```

Properties
Relative energy among the computed polymorphs: 0.3274 eV per atom
Space-group type: Fm-3m (225)
Volume: 20.772 Å³ per atom
Fermi-level density of states: 3.94 states/eV/cell

=====

No. 17
This record from the Alexandria database describes crystalline RbZn2Ru at its relaxed geometry. The functional is GGA-PBE.

```
RbZn2Ru
1.0
-4.997 2.372 0.401
-2.272 -4.958 1.010
-2.482 -0.205 8.636
Ru Zn Rb
2 4 2
Cartesian
0.000 0.000 0.000
-5.557 0.437 4.871
-5.277 1.404 2.636
-6.414 -1.074 3.141
-4.020 0.115 6.754
-6.518 1.303 6.954
-3.635 -1.293 0.705
-4.195 -3.228 5.176
```

Properties
Relative energy among the computed polymorphs: 0.0000 eV per atom
Space-group type: I4_1/amd (141)
Volume: 31.097 Å³ per atom
Fermi-level density of states: 5.55 states/eV/cell

=====

No. 18
This record from the Alexandria database describes crystalline RbZnRu2 at its relaxed geometry. The functional is GGA-PBE.

```
RbZnRu2
1.0
4.727 0.000 0.000
0.000 4.727 0.000
2.363 2.363 9.380
Ru Zn Rb
4 2 2
Cartesian
2.318 1.182 2.345
2.409 3.545 2.345
3.545 4.772 7.035
5.908 4.681 7.035
2.363 2.363 0.000
2.363 4.727 4.690
0.000 0.000 0.000
4.727 2.363 4.690
```

Properties
Space-group type: I-42d (122)
Volume: 26.198 Å³ per atom
Fermi-level density of states: 10.64 states/eV/cell

=====

No. 19
This record from the Alexandria database describes crystalline RbZnRu3 at its relaxed geometry. The functional is GGA-PBE.

```
RbZnRu3
1.0
-0.772 -1.277 4.523
4.684 0.171 0.848
-0.390 4.585 1.228
Ru Zn Rb
3 1 1
Cartesian
2.342 0.085 0.424
-0.195 2.293 0.614
-0.386 -0.639 2.262
1.761 1.739 3.300
0.000 0.000 0.000
```

Properties
Relative energy among the computed polymorphs: 1.2818 eV per atom
Space-group type: Pm-3m (221)
Volume: 21.610 Å³ per atom
Fermi-level density of states: 8.05 states/eV/cell

=====

No. 20
This record from the Alexandria database describes crystalline Rb2ZrZnRu at its relaxed geometry. The functional is GGA-PBE.

```
Rb2ZrZnRu
1.0
-5.748 2.478 2.754
-1.326 -4.375 1.169
3.168 0.650 6.026
Ru Zn Rb Zr
1 1 2 1
Cartesian
0.000 0.000 0.000
-1.953 -0.623 4.974
1.584 0.325 3.013
-2.874 1.239 1.377
-0.663 -2.187 0.585
```

Properties
Space-group type: P4/mmm (123)
Volume: 44.133 Å³ per atom
Fermi-level density of states: 3.89 states/eV/cell

=====

No. 21
This record from the Alexandria database describes crystalline RbZr3Ru at its relaxed geometry. The functional is GGA-PBE.

```
RbZr3Ru
1.0
4.919 0.000 0.000
0.000 4.919 0.000
0.000 0.000 4.919
Ru Rb Zr
1 1 3
Cartesian
2.459 2.459 2.459
0.000 0.000 0.000
0.000 2.459 0.000
0.000 0.000 2.459
2.459 0.000 0.000
```

Properties
Relative energy among the computed polymorphs: 1.7862 eV per atom
Space-group type: Pm-3m (221)
Volume: 23.799 Å³ per atom
Fermi-level density of states: 7.74 states/eV/cell

=====

No. 22
This record from the Alexandria database describes crystalline RbZrRu3 at its relaxed geometry. The functional is GGA-PBE.

```
RbZrRu3
1.0
-3.638 -3.396 0.647
3.117 -2.816 2.746
-1.495 2.392 4.151
Ru Rb Zr
3 1 1
Cartesian
1.558 -1.408 1.373
-0.747 1.196 2.075
-1.819 -1.698 0.323
-1.008 -1.910 3.772
0.000 0.000 0.000
```

Properties
Space-group type: Pm-3m (221)
Volume: 25.280 Å³ per atom
Fermi-level density of states: 5.92 states/eV/cell

=====

No. 23
This record from the Alexandria database describes crystalline RbZrRu2 at its relaxed geometry. The functional is GGA-PBE.

```
RbZrRu2
1.0
-2.838 -3.511 1.638
-4.008 -1.156 -2.381
-0.269 -4.171 -2.366
Ru Rb Zr
2 1 1
Cartesian
-1.779 -2.209 -0.777
-5.336 -6.628 -2.332
0.000 0.000 0.000
-3.558 -4.419 -1.555
```

Properties
Relative energy among the computed polymorphs: 0.0000 eV per atom
Space-group type: Fm-3m (225)
Volume: 19.584 Å³ per atom
Fermi-level density of states: 3.53 states/eV/cell

=====

No. 24
This record from the Alexandria database describes crystalline RbZr3Ru at its relaxed geometry. The functional is GGA-PBE.

```
RbZr3Ru
1.0
5.203 0.000 0.000
0.000 5.203 0.000
0.000 0.000 5.203
Ru Rb Zr
1 1 3
Cartesian
0.000 0.000 0.000
2.602 2.602 2.602
0.000 2.602 0.000
0.000 0.000 2.602
2.602 0.000 0.000
```

Properties
Relative energy among the computed polymorphs: 0.0000 eV per atom
Space-group type: Pm-3m (221)
Volume: 28.172 Å³ per atom
Fermi-level density of states: 5.51 states/eV/cell

=====

No. 25
This record from the Alexandria database describes crystalline RbZrRu2 at its relaxed geometry. The functional is GGA-PBE.

```
RbZrRu2
1.0
-1.885 4.245 2.075
-1.850 -2.719 3.881
5.728 1.958 7.436
Ru Rb Zr
4 2 2
Cartesian
-0.399 3.752 4.105
-1.423 2.616 6.154
3.309 2.649 6.942
2.463 4.914 7.775
-1.868 0.763 2.978
1.005 0.001 7.147
0.000 0.000 0.000
0.987 3.483 6.244
```

Properties
Relative energy among the computed polymorphs: 0.0930 eV per atom
Space-group type: I-42d (122)
Volume: 28.746 Å³ per atom
Fermi-level density of states: 9.73 states/eV/cell

=====

No. 26
This record from the Alexandria database describes crystalline Rb2S3 at its relaxed geometry. The functional is GGA-PBE.

```
Rb2S3
1.0
6.545 -0.001 0.000
-2.176 6.172 0.000
0.000 0.000 7.960
Rb S
4 6
Cartesian
2.881 2.592 1.520
1.487 3.579 5.500
-1.251 5.517 3.677
5.619 0.655 7.657
-0.398 2.358 2.772
4.766 3.813 6.752
2.012 5.763 2.772
2.356 0.409 6.752
-0.435 4.940 7.906
4.803 1.232 3.926
```

Properties
Relative energy among the computed polymorphs: 0.0000 eV per atom
Raw formation energy: -0.79 eV per atom
Space-group type: Cmc2_1 (36)
Volume: 32.151 Å³ per atom

=====

No. 27
This record from the Alexandria database describes crystalline RbS4 at its relaxed geometry. The functional is GGA-PBE.

```
RbS4
1.0
6.329 0.000 0.000
0.000 6.329 0.000
0.000 0.000 6.329
S Rb
4 1
Cartesian
0.000 0.000 0.000
3.165 0.000 3.165
0.000 3.165 3.165
3.165 3.165 0.000
3.165 3.165 3.165
```

Properties
Relative energy among the computed polymorphs: 1.9134 eV per atom
Raw formation energy: 1.57 eV per atom
Space-group type: Pm-3m (221)
Volume: 50.703 Å³ per atom
Fermi-level density of states: 8.91 states/eV/cell

=====

No. 28
This record from the Alexandria database describes crystalline Rb3S at its relaxed geometry. The functional is GGA-PBE.

```
Rb3S
1.0
4.506 0.000 0.000
0.000 8.583 0.000
-2.253 -4.292 6.870
S Rb
1 3
Cartesian
0.000 0.381 0.000
0.000 3.473 4.886
2.253 2.687 0.000
2.253 -0.819 1.985
```

Properties
Relative energy among the computed polymorphs: 0.0000 eV per atom
Raw formation energy: -0.63 eV per atom
Space-group type: Imm2 (44)
Volume: 66.431 Å³ per atom
Fermi-level density of states: 2.02 states/eV/cell

=====

Calculated values (g/cm3) of ρ for the records, taken in order: 5.7 9.7 3.9 6.5 2.7 13.2 8.1 5.2 4.4 7.2 5.6 5.8 7.3 6.7 2.8 6.3 4.2 5.6 7.0 3.2 6.4 6.3 8.0 5.4 5.5 2.8 1.4 1.8.
Calculated values (Ry per atom) of final energy for the records, taken in order: -0.1291 -0.2940 -0.2282 -0.3513 -0.2936 -0.5229 -0.5220 -0.2993 -0.4305 -0.3944 -0.3969 -0.3850 -0.3527 -0.3174 -0.1675 -0.1677 -0.1917 -0.3036 -0.2232 -0.2442 -0.3554 -0.4366 -0.4392 -0.4867 -0.4323 -0.2686 -0.1413 -0.1758.